18
Lattice="8.660 0.000 0.000 0.000 8.660 0.000 0.000 0.000 5.795" Properties=species:S:1:pos:R:3 comment="Tb4CeGa4 | the Alexandria database | PBE | optimized geometry" formation_enthalpy_0k_ev_per_atom=-0.293 pbc="T T T"
Tb 0.672 7.139 0.815
Tb 1.521 5.002 3.713
Tb 2.809 7.988 3.713
Tb 3.658 5.851 0.815
Tb 5.002 2.809 4.979
Tb 5.851 0.672 2.082
Tb 7.139 3.658 2.082
Tb 7.988 1.521 4.979
Ce 2.165 2.165 4.346
Ce 6.495 6.495 1.449
Ga 0.399 1.332 2.010
Ga 1.332 3.931 0.888
Ga 2.998 0.399 0.888
Ga 3.931 2.998 2.010
Ga 4.729 5.662 3.785
Ga 5.662 8.261 4.907
Ga 7.328 4.729 4.907
Ga 8.261 7.328 3.785